{
  "formula": "CuB2S",
  "functional": "GGA-PBE",
  "state": "relaxed",
  "magmom_total_mub_per_fu": 0.00,
  "formation_energy_uncorrected_ev_per_atom": 0.62,
  "sg": "No. 122",
  "lattice_angstrom": [[-2.391, 2.391, 4.101], [2.391, -2.391, 4.101], [2.391, 2.391, -4.101]],
  "species": ["Cu", "Cu", "B", "B", "B", "B", "S", "S"],
  "fractional_positions": [[0.000, 0.000, 0.000], [0.750, 0.250, 0.500], [0.148, 0.625, 0.023], [0.375, 0.398, 0.523], [0.602, 0.125, 0.977], [0.875, 0.852, 0.477], [0.250, 0.750, 0.500], [0.500, 0.500, 0.000]]
}


{
  "formula": "Cu2BS4",
  "functional": "GGA-PBE",
  "state": "relaxed",
  "magmom_total_mub_per_fu": 0.00,
  "formation_energy_uncorrected_ev_per_atom": -0.15,
  "sg": "No. 121",
  "lattice_angstrom": [[-2.703, 2.703, 4.362], [2.703, -2.703, 4.362], [2.703, 2.703, -4.362]],
  "species": ["Cu", "Cu", "B", "S", "S", "S", "S"],
  "fractional_positions": [[0.250, 0.750, 0.500], [0.750, 0.250, 0.500], [0.000, 0.000, 0.000], [0.088, 0.671, 0.000], [0.329, 0.329, 0.417], [0.671, 0.088, 0.000], [0.912, 0.912, 0.583]]
}


{
  "formula": "Cu2BS5",
  "functional": "GGA-PBE",
  "state": "relaxed",
  "magmom_total_mub_per_fu": 0.00,
  "formation_energy_uncorrected_ev_per_atom": -0.10,
  "sg": "No. 1",
  "lattice_angstrom": [[4.772, 0.000, 0.000], [1.867, 5.635, 0.000], [1.103, 0.066, 5.944]],
  "species": ["Cu", "Cu", "B", "S", "S", "S", "S", "S"],
  "fractional_positions": [[0.000, 0.000, 0.000], [0.104, 0.456, 0.514], [0.196, 0.481, 0.032], [0.241, 0.695, 0.228], [0.347, 0.114, 0.692], [0.564, 0.282, 0.855], [0.960, 0.679, 0.830], [0.981, 0.302, 0.222]]
}


{
  "formula": "Sr2CuB2S6",
  "functional": "GGA-PBE",
  "state": "relaxed",
  "magmom_total_mub_per_fu": 0.00,
  "formation_energy_uncorrected_ev_per_atom": -0.86,
  "sg": "No. 166",
  "lattice_angstrom": [[3.172, 1.831, 6.572], [-3.172, 1.831, 6.572], [0.000, -3.663, 6.572]],
  "species": ["Sr", "Sr", "Cu", "B", "B", "S", "S", "S", "S", "S", "S"],
  "fractional_positions": [[0.223, 0.223, 0.223], [0.777, 0.777, 0.777], [0.000, 0.000, 0.000], [0.413, 0.413, 0.413], [0.587, 0.587, 0.587], [0.252, 0.747, 0.747], [0.253, 0.253, 0.748], [0.253, 0.748, 0.253], [0.747, 0.252, 0.747], [0.747, 0.747, 0.252], [0.748, 0.253, 0.253]]
}


{
  "formula": "SrCu2BS4",
  "functional": "GGA-PBE",
  "state": "relaxed",
  "magmom_total_mub_per_fu": 0.00,
  "formation_energy_uncorrected_ev_per_atom": -0.76,
  "sg": "No. 121",
  "lattice_angstrom": [[-3.050, 3.050, 3.824], [3.050, -3.050, 3.824], [3.050, 3.050, -3.824]],
  "species": ["Sr", "Cu", "Cu", "B", "S", "S", "S", "S"],
  "fractional_positions": [[0.000, 0.000, 0.000], [0.250, 0.750, 0.500], [0.750, 0.250, 0.500], [0.500, 0.500, 0.000], [0.173, 0.538, 0.000], [0.462, 0.462, 0.635], [0.538, 0.173, 0.000], [0.827, 0.827, 0.365]]
}


{
  "formula": "Tl2CuBS4",
  "functional": "GGA-PBE",
  "state": "relaxed",
  "magmom_total_mub_per_fu": 0.00,
  "formation_energy_uncorrected_ev_per_atom": -0.26,
  "sg": "No. 82",
  "lattice_angstrom": [[-3.222, 3.222, 4.007], [3.222, -3.222, 4.007], [3.222, 3.222, -4.007]],
  "species": ["Tl", "Tl", "Cu", "B", "S", "S", "S", "S"],
  "fractional_positions": [[0.000, 0.000, 0.000], [0.750, 0.250, 0.500], [0.250, 0.750, 0.500], [0.500, 0.500, 0.000], [0.222, 0.166, 0.646], [0.424, 0.778, 0.945], [0.520, 0.576, 0.354], [0.834, 0.480, 0.055]]
}


{
  "formula": "ZnCuB2S",
  "functional": "GGA-PBE",
  "state": "relaxed",
  "magmom_total_mub_per_fu": 0.00,
  "formation_energy_uncorrected_ev_per_atom": 1.40,
  "sg": "No. 123",
  "lattice_angstrom": [[3.733, 0.000, 0.000], [0.000, 3.733, 0.000], [0.000, 0.000, 5.050]],
  "species": ["Zn", "Cu", "B", "B", "S"],
  "fractional_positions": [[0.000, 0.000, 0.000], [0.500, 0.500, 0.000], [0.000, 0.500, 0.500], [0.500, 0.000, 0.500], [0.000, 0.000, 0.500]]
}


{
  "formula": "Cu2B2Sb",
  "functional": "GGA-PBE",
  "state": "relaxed",
  "magmom_total_mub_per_fu": 0.00,
  "formation_energy_uncorrected_ev_per_atom": 0.55,
  "sg": "No. 139",
  "relative_energy_kj_per_mol_fu": 0,
  "lattice_angstrom": [[-1.840, 1.840, 4.486], [1.840, -1.840, 4.486], [1.840, 1.840, -4.486]],
  "species": ["Cu", "Cu", "B", "B", "Sb"],
  "fractional_positions": [[0.250, 0.750, 0.500], [0.750, 0.250, 0.500], [0.094, 0.094, 0.000], [0.906, 0.906, 0.000], [0.500, 0.500, 0.000]]
}


{
  "formula": "CuB3Sb",
  "functional": "GGA-PBE",
  "state": "relaxed",
  "magmom_total_mub_per_fu": 0.00,
  "formation_energy_uncorrected_ev_per_atom": 1.59,
  "sg": "No. 221",
  "relative_energy_kj_per_mol_fu": 0,
  "lattice_angstrom": [[4.043, 0.000, 0.000], [0.000, 4.043, 0.000], [0.000, 0.000, 4.043]],
  "species": ["Cu", "B", "B", "B", "Sb"],
  "fractional_positions": [[0.000, 0.000, 0.000], [0.000, 0.000, 0.500], [0.000, 0.500, 0.000], [0.500, 0.000, 0.000], [0.500, 0.500, 0.500]]
}


{
  "formula": "Cu2B2Sb",
  "functional": "GGA-PBE",
  "state": "relaxed",
  "magmom_total_mub_per_fu": 0.00,
  "formation_energy_uncorrected_ev_per_atom": 0.73,
  "sg": "No. 127",
  "relative_energy_kj_per_mol_fu": 89,
  "lattice_angstrom": [[5.849, 0.000, 0.000], [0.000, 5.849, 0.000], [0.000, 0.000, 3.743]],
  "species": ["Cu", "Cu", "Cu", "Cu", "B", "B", "B", "B", "Sb", "Sb"],
  "fractional_positions": [[0.146, 0.354, 0.000], [0.354, 0.854, 0.000], [0.646, 0.146, 0.000], [0.854, 0.646, 0.000], [0.098, 0.598, 0.500], [0.402, 0.098, 0.500], [0.598, 0.902, 0.500], [0.902, 0.402, 0.500], [0.000, 0.000, 0.500], [0.500, 0.500, 0.500]]
}


{
  "formula": "CuB3Sb",
  "functional": "GGA-PBE",
  "state": "relaxed",
  "magmom_total_mub_per_fu": 0.00,
  "formation_energy_uncorrected_ev_per_atom": 2.35,
  "sg": "No. 221",
  "relative_energy_kj_per_mol_fu": 366,
  "lattice_angstrom": [[4.475, 0.000, 0.000], [0.000, 4.475, 0.000], [0.000, 0.000, 4.475]],
  "species": ["Cu", "B", "B", "B", "Sb"],
  "fractional_positions": [[0.000, 0.000, 0.000], [0.000, 0.500, 0.500], [0.500, 0.000, 0.500], [0.500, 0.500, 0.000], [0.500, 0.500, 0.500]]
}


{
  "formula": "Cu2BSb",
  "functional": "GGA-PBE",
  "state": "relaxed",
  "magmom_total_mub_per_fu": 0.00,
  "formation_energy_uncorrected_ev_per_atom": 0.53,
  "sg": "No. 122",
  "relative_energy_kj_per_mol_fu": 0,
  "lattice_angstrom": [[-2.177, 2.177, 6.758], [2.177, -2.177, 6.758], [2.177, 2.177, -6.758]],
  "species": ["Cu", "Cu", "Cu", "Cu", "B", "B", "Sb", "Sb"],
  "fractional_positions": [[0.375, 0.234, 0.359], [0.766, 0.125, 0.141], [0.875, 0.016, 0.641], [0.984, 0.625, 0.859], [0.000, 0.000, 0.000], [0.750, 0.250, 0.500], [0.250, 0.750, 0.500], [0.500, 0.500, 0.000]]
}